(1)
First-principles (GGA-PBE) data for an optimized crystal structure of LiReTcBr2, as listed in Alexandria.

a = 5.2788 Å, b = 5.2788 Å, c = 4.7499 Å
α = 90.00°, β = 90.00°, γ = 90.00°
Element x y z (fractional)
Li 0.0000 0.0000 0.0000
Re 0.5000 0.5000 0.0000
Tc 0.5000 0.5000 0.5000
Br 0.0000 0.5000 0.5000
Br 0.5000 0.0000 0.5000

Formation energy without anion corrections ... 20.74 kcal/mol of atoms
Density of states at the Fermi level ... 4.09 states/eV per cell
ρ ... 5.66 g cm⁻³

(2)
First-principles (GGA-PBE) data for an optimized crystal structure of K2Na2Sm4Nb2O13, as listed in Alexandria.

a = 12.5936 Å, b = 12.5936 Å, c = 11.3308 Å
α = 115.51°, β = 115.51°, γ = 26.19°
Element x y z (fractional)
K 0.1971 0.3007 0.1318
K 0.3007 0.1971 0.6318
K 0.6993 0.8029 0.3682
K 0.8029 0.6993 0.8682
Na 0.3028 0.3789 0.4766
Na 0.3789 0.3028 0.9766
Na 0.6211 0.6972 0.0234
Na 0.6972 0.6211 0.5234
Sm 0.0159 0.1100 0.9494
Sm 0.1100 0.0159 0.4494
Sm 0.3999 0.4750 0.3273
Sm 0.4750 0.3999 0.8273
Sm 0.5250 0.6001 0.1727
Sm 0.6001 0.5250 0.6727
Sm 0.8900 0.9841 0.5506
Sm 0.9841 0.8900 0.0506
Nb 0.1170 0.1841 0.2818
Nb 0.1841 0.1170 0.7818
Nb 0.8159 0.8830 0.2182
Nb 0.8830 0.8159 0.7182
O 0.0639 0.6778 0.3631
O 0.0929 0.6387 0.1235
O 0.1305 0.6678 0.6596
O 0.1421 0.5963 0.8620
O 0.1716 0.2983 0.3744
O 0.2507 0.7473 0.5229
O 0.2527 0.7493 0.9771
O 0.2582 0.7418 0.2500
O 0.2983 0.1716 0.8744
O 0.3222 0.9361 0.1369
O 0.3322 0.8695 0.8404
O 0.3613 0.9071 0.3765
O 0.4037 0.8579 0.6380
O 0.5963 0.1421 0.3620
O 0.6387 0.0929 0.6235
O 0.6678 0.1305 0.1596
O 0.6778 0.0639 0.8631
O 0.7017 0.8284 0.1256
O 0.7418 0.2582 0.7500
O 0.7473 0.2507 0.0229
O 0.7493 0.2527 0.4771
O 0.8284 0.7017 0.6256
O 0.8579 0.4037 0.1380
O 0.8695 0.3322 0.3404
O 0.9071 0.3613 0.8765
O 0.9361 0.3222 0.6369

Formation energy without anion corrections ... -64.94 kcal/mol of atoms
Density of states at the Fermi level ... 0.00 states/eV per cell
ρ ... 5.23 g cm⁻³

(3)
First-principles (GGA-PBE) data for an optimized crystal structure of YBeAu3, as listed in Alexandria.

a = 4.1672 Å, b = 4.1672 Å, c = 5.4376 Å
α = 90.00°, β = 90.00°, γ = 90.00°
Element x y z (fractional)
Y 0.0000 0.0000 0.0000
Be 0.5000 0.5000 0.2260
Au 0.0000 0.5000 0.4391
Au 0.5000 0.0000 0.4391
Au 0.5000 0.5000 0.8090

DFT formation energy ... -0.542 eV per atom
Density of states at the Fermi level ... 3.13 states/eV per cell
ρ ... 12.11 g cm⁻³

(4)
First-principles (GGA-PBE) data for an optimized crystal structure of NbSnGe2H, as listed in Alexandria.

a = 5.3556 Å, b = 5.3556 Å, c = 3.3113 Å
α = 90.00°, β = 90.00°, γ = 90.00°
Element x y z (fractional)
Nb 0.0000 0.0000 0.0000
Sn 0.5000 0.5000 0.5000
Ge 0.0000 0.5000 0.5000
Ge 0.5000 0.0000 0.5000
H 0.5000 0.5000 0.0000

Density of states at the Fermi level ... 3.12 states/eV per cell
ρ ... 6.26 g cm⁻³

(5)
First-principles (GGA-PBE) data for an optimized crystal structure of Dy4AgPt2, as listed in Alexandria.

a = 8.5391 Å, b = 8.5391 Å, c = 8.5391 Å
α = 33.71°, β = 33.71°, γ = 33.71°
Element x y z (fractional)
Dy 0.1215 0.1215 0.1215
Dy 0.3723 0.3723 0.3723
Dy 0.6277 0.6277 0.6277
Dy 0.8785 0.8785 0.8785
Ag 0.5000 0.5000 0.5000
Pt 0.2516 0.2516 0.2516
Pt 0.7484 0.7484 0.7484

DFT formation energy ... -0.817 eV per atom
Density of states at the Fermi level ... 4.65 states/eV per cell
ρ ... 11.15 g cm⁻³

(6)
First-principles (GGA-PBE) data for an optimized crystal structure of K3CaBe, as listed in Alexandria.

a = 7.6807 Å, b = 7.6807 Å, c = 7.6807 Å
α = 90.00°, β = 90.00°, γ = 90.00°
Element x y z (fractional)
K 0.0000 0.0000 0.5000
K 0.0000 0.5000 0.0000
K 0.5000 0.0000 0.0000
Ca 0.0000 0.0000 0.0000
Be 0.5000 0.5000 0.5000

DFT formation energy ... 1.066 eV per atom
Density of states at the Fermi level ... 4.57 states/eV per cell
ρ ... 0.61 g cm⁻³

(7)
First-principles (GGA-PBE) data for an optimized crystal structure of AgHg2Rh, as listed in Alexandria.

a = 10.5857 Å, b = 3.1275 Å, c = 4.8725 Å
α = 90.00°, β = 111.62°, γ = 90.00°
Element x y z (fractional)
Ag 0.0000 0.0000 0.0000
Ag 0.5000 0.5000 0.0000
Hg 0.2419 0.0000 0.8665
Hg 0.4739 0.0000 0.4755
Hg 0.7419 0.5000 0.8665
Hg 0.9739 0.5000 0.4755
Rh 0.2346 0.5000 0.3738
Rh 0.7346 0.0000 0.3738

DFT formation energy ... 0.149 eV per atom
Density of states at the Fermi level ... 4.02 states/eV per cell
ρ ... 13.55 g cm⁻³

(8)
First-principles (GGA-PBE) data for an optimized crystal structure of Cs3K2Na2Hg4, as listed in Alexandria.

a = 6.4480 Å, b = 6.4480 Å, c = 14.1097 Å
α = 90.00°, β = 90.00°, γ = 120.00°
Element x y z (fractional)
Cs 0.0000 0.0000 0.0000
Cs 0.0000 0.0000 0.3239
Cs 0.0000 0.0000 0.6761
K 0.3333 0.6667 0.1351
K 0.6667 0.3333 0.8649
Na 0.3333 0.6667 0.6040
Na 0.6667 0.3333 0.3960
Hg 0.3333 0.6667 0.3843
Hg 0.3333 0.6667 0.8481
Hg 0.6667 0.3333 0.1519
Hg 0.6667 0.3333 0.6157

DFT formation energy ... -0.121 eV per atom
Density of states at the Fermi level ... 5.30 states/eV per cell
ρ ... 4.33 g cm⁻³

(9)
First-principles (GGA-PBE) data for an optimized crystal structure of Ti3SiW, as listed in Alexandria.

a = 4.5219 Å, b = 4.5219 Å, c = 4.5219 Å
α = 90.00°, β = 90.00°, γ = 90.00°
Element x y z (fractional)
Ti 0.0000 0.0000 0.5000
Ti 0.0000 0.5000 0.0000
Ti 0.5000 0.0000 0.0000
Si 0.0000 0.0000 0.0000
W 0.5000 0.5000 0.5000

Formation energy without anion corrections ... 15.30 kcal/mol of atoms
Density of states at the Fermi level ... 2.90 states/eV per cell
ρ ... 6.38 g cm⁻³

(10)
First-principles (GGA-PBE) data for an optimized crystal structure of Th8Te4Ru3S, as listed in Alexandria.

a = 8.9914 Å, b = 8.9914 Å, c = 8.9914 Å
α = 55.66°, β = 55.66°, γ = 55.66°
Element x y z (fractional)
Th 0.2255 0.7401 0.7401
Th 0.2327 0.2327 0.2327
Th 0.2599 0.2599 0.7745
Th 0.2599 0.7745 0.2599
Th 0.7401 0.2255 0.7401
Th 0.7401 0.7401 0.2255
Th 0.7673 0.7673 0.7673
Th 0.7745 0.2599 0.2599
Te 0.0000 0.0000 0.0000
Te 0.0000 0.5000 0.5000
Te 0.5000 0.0000 0.5000
Te 0.5000 0.5000 0.0000
Ru 0.0000 0.0000 0.5000
Ru 0.0000 0.5000 0.0000
Ru 0.5000 0.0000 0.0000
S 0.5000 0.5000 0.5000

Formation energy without anion corrections ... -23.17 kcal/mol of atoms
Density of states at the Fermi level ... 13.00 states/eV per cell
ρ ... 9.71 g cm⁻³

(11)
First-principles (GGA-PBE) data for an optimized crystal structure of HfMg2Nb, as listed in Alexandria.

a = 7.9277 Å, b = 7.9277 Å, c = 5.4381 Å
α = 90.00°, β = 90.00°, γ = 90.00°
Element x y z (fractional)
Hf 0.0000 0.0000 0.0000
Hf 0.0000 0.5000 0.2500
Hf 0.5000 0.0000 0.7500
Hf 0.5000 0.5000 0.5000
Mg 0.2374 0.2500 0.6250
Mg 0.2500 0.7374 0.8750
Mg 0.2500 0.7626 0.3750
Mg 0.2626 0.2500 0.1250
Mg 0.7374 0.7500 0.1250
Mg 0.7500 0.2374 0.3750
Mg 0.7500 0.2626 0.8750
Mg 0.7626 0.7500 0.6250
Nb 0.0000 0.0000 0.5000
Nb 0.0000 0.5000 0.7500
Nb 0.5000 0.0000 0.2500
Nb 0.5000 0.5000 0.0000

DFT formation energy ... 0.657 eV per atom
Density of states at the Fermi level ... 11.78 states/eV per cell
ρ ... 6.22 g cm⁻³

(12)
First-principles (GGA-PBE) data for an optimized crystal structure of LiY2TiSn, as listed in Alexandria.

a = 5.2537 Å, b = 5.2537 Å, c = 4.9366 Å
α = 90.00°, β = 90.00°, γ = 90.00°
Element x y z (fractional)
Li 0.0000 0.0000 0.0000
Y 0.0000 0.5000 0.5000
Y 0.5000 0.0000 0.5000
Ti 0.0000 0.0000 0.5000
Sn 0.5000 0.5000 0.0000

DFT formation energy ... 0.535 eV per atom
Density of states at the Fermi level ... 5.19 states/eV per cell
ρ ... 4.28 g cm⁻³

(13)
First-principles (GGA-PBE) data for an optimized crystal structure of Na3Ce3ScO8, as listed in Alexandria.

a = 6.8809 Å, b = 6.8809 Å, c = 6.8809 Å
α = 60.95°, β = 60.95°, γ = 60.95°
Element x y z (fractional)
Na 0.0000 0.5000 0.5000
Na 0.5000 0.0000 0.5000
Na 0.5000 0.5000 0.0000
Ce 0.0000 0.0000 0.5000
Ce 0.0000 0.5000 0.0000
Ce 0.5000 0.0000 0.0000
Sc 0.5000 0.5000 0.5000
O 0.2399 0.2399 0.2399
O 0.2543 0.7206 0.7206
O 0.2794 0.2794 0.7457
O 0.2794 0.7457 0.2794
O 0.7206 0.2543 0.7206
O 0.7206 0.7206 0.2543
O 0.7457 0.2794 0.2794
O 0.7601 0.7601 0.7601

Formation energy without anion corrections ... -64.70 kcal/mol of atoms
Density of states at the Fermi level ... 9.14 states/eV per cell
ρ ... 4.67 g cm⁻³

(14)
First-principles (GGA-PBE) data for an optimized crystal structure of AcNdSO2, as listed in Alexandria.

a = 4.0070 Å, b = 4.0070 Å, c = 12.7806 Å
α = 90.00°, β = 90.00°, γ = 90.00°
Element x y z (fractional)
Ac 0.0000 0.0000 0.0000
Ac 0.5000 0.5000 0.5000
Nd 0.0000 0.0000 0.7014
Nd 0.5000 0.5000 0.2014
S 0.0000 0.0000 0.3521
S 0.5000 0.5000 0.8521
O 0.0000 0.5000 0.1085
O 0.0000 0.5000 0.6085
O 0.5000 0.0000 0.1085
O 0.5000 0.0000 0.6085

Formation energy without anion corrections ... -68.63 kcal/mol of atoms
Density of states at the Fermi level ... 0.00 states/eV per cell
ρ ... 7.05 g cm⁻³

(15)
First-principles (GGA-PBE) data for an optimized crystal structure of Na3CaRe, as listed in Alexandria.

a = 5.1748 Å, b = 5.1748 Å, c = 5.1748 Å
α = 90.00°, β = 90.00°, γ = 90.00°
Element x y z (fractional)
Na 0.0000 0.0000 0.5000
Na 0.0000 0.5000 0.0000
Na 0.5000 0.0000 0.0000
Ca 0.0000 0.0000 0.0000
Re 0.5000 0.5000 0.5000

DFT formation energy ... 2.120 eV per atom
Density of states at the Fermi level ... 1.10 states/eV per cell
ρ ... 3.54 g cm⁻³

(16)
First-principles (GGA-PBE) data for an optimized crystal structure of MnCu2Re, as listed in Alexandria.

a = 2.5802 Å, b = 3.7741 Å, c = 5.2823 Å
α = 90.00°, β = 90.00°, γ = 90.00°
Element x y z (fractional)
Mn 0.0000 0.0000 0.0000
Cu 0.0000 0.0000 0.5060
Cu 0.5000 0.5000 0.7312
Re 0.5000 0.5000 0.2289

DFT formation energy ... 0.210 eV per atom
Density of states at the Fermi level ... 2.88 states/eV per cell
ρ ... 11.89 g cm⁻³

(17)
First-principles (GGA-PBE) data for an optimized crystal structure of Y4TlAsSe2, as listed in Alexandria.

a = 7.2968 Å, b = 4.1012 Å, c = 7.3214 Å
α = 90.00°, β = 108.74°, γ = 90.00°
Element x y z (fractional)
Y 0.2430 0.0000 0.2405
Y 0.2560 0.5000 0.7618
Y 0.7440 0.5000 0.2382
Y 0.7570 0.0000 0.7595
Tl 0.0000 0.0000 0.5000
As 0.0000 0.5000 0.0000
Se 0.5000 0.0000 0.0000
Se 0.5000 0.5000 0.5000

Formation energy without anion corrections ... -31.06 kcal/mol of atoms
Density of states at the Fermi level ... 3.25 states/eV per cell
ρ ... 6.35 g cm⁻³

(18)
First-principles (GGA-PBE) data for an optimized crystal structure of NbAlFe, as listed in Alexandria.

a = 2.9672 Å, b = 2.9672 Å, c = 9.7787 Å
α = 90.00°, β = 90.00°, γ = 90.00°
Element x y z (fractional)
Nb 0.0000 0.0000 0.0000
Nb 0.5000 0.5000 0.5000
Al 0.0000 0.0000 0.2998
Al 0.5000 0.5000 0.7998
Fe 0.0000 0.0000 0.6534
Fe 0.5000 0.5000 0.1534

DFT formation energy ... -0.252 eV per atom
Density of states at the Fermi level ... 3.74 states/eV per cell
ρ ... 6.78 g cm⁻³

(19)
First-principles (GGA-PBE) data for an optimized crystal structure of TiMoW2, as listed in Alexandria.

a = 6.3346 Å, b = 6.3346 Å, c = 6.3346 Å
α = 90.00°, β = 90.00°, γ = 90.00°
Element x y z (fractional)
Ti 0.0000 0.0000 0.0000
Ti 0.0000 0.5000 0.5000
Ti 0.5000 0.0000 0.5000
Ti 0.5000 0.5000 0.0000
Mo 0.0000 0.0000 0.5000
Mo 0.0000 0.5000 0.0000
Mo 0.5000 0.0000 0.0000
Mo 0.5000 0.5000 0.5000
W 0.2500 0.2500 0.2500
W 0.2500 0.2500 0.7500
W 0.2500 0.7500 0.2500
W 0.2500 0.7500 0.7500
W 0.7500 0.2500 0.2500
W 0.7500 0.2500 0.7500
W 0.7500 0.7500 0.2500
W 0.7500 0.7500 0.7500

DFT formation energy ... -0.060 eV per atom
Density of states at the Fermi level ... 14.96 states/eV per cell
ρ ... 13.37 g cm⁻³

(20)
First-principles (GGA-PBE) data for an optimized crystal structure of La2Ge4PdAu3, as listed in Alexandria.

a = 4.4525 Å, b = 4.4525 Å, c = 10.6731 Å
α = 90.00°, β = 90.00°, γ = 90.00°
Element x y z (fractional)
La 0.0000 0.5000 0.2424
La 0.5000 0.0000 0.7576
Ge 0.0000 0.0000 0.5000
Ge 0.0000 0.5000 0.8724
Ge 0.5000 0.0000 0.1276
Ge 0.5000 0.5000 0.5000
Pd 0.5000 0.5000 0.0000
Au 0.0000 0.0000 0.0000
Au 0.0000 0.5000 0.6347
Au 0.5000 0.0000 0.3653

DFT formation energy ... -0.665 eV per atom
Density of states at the Fermi level ... 5.37 states/eV per cell
ρ ... 9.93 g cm⁻³

(21)
First-principles (GGA-PBE) data for an optimized crystal structure of Pm4HgPSe2, as listed in Alexandria.

a = 7.3514 Å, b = 4.1762 Å, c = 7.4061 Å
α = 90.00°, β = 108.84°, γ = 90.00°
Element x y z (fractional)
Pm 0.2410 0.0000 0.2330
Pm 0.2552 0.5000 0.7651
Pm 0.7448 0.5000 0.2349
Pm 0.7590 0.0000 0.7670
Hg 0.0000 0.0000 0.5000
P 0.0000 0.5000 0.0000
Se 0.5000 0.0000 0.0000
Se 0.5000 0.5000 0.5000

Formation energy without anion corrections ... -32.46 kcal/mol of atoms
Density of states at the Fermi level ... 5.59 states/eV per cell
ρ ... 7.48 g cm⁻³

(22)
First-principles (GGA-PBE) data for an optimized crystal structure of Cu2HCl, as listed in Alexandria.

a = 5.8443 Å, b = 5.8443 Å, c = 5.8443 Å
α = 90.00°, β = 90.00°, γ = 90.00°
Element x y z (fractional)
Cu 0.2500 0.2500 0.2500
Cu 0.2500 0.2500 0.7500
Cu 0.2500 0.7500 0.2500
Cu 0.2500 0.7500 0.7500
Cu 0.7500 0.2500 0.2500
Cu 0.7500 0.2500 0.7500
Cu 0.7500 0.7500 0.2500
Cu 0.7500 0.7500 0.7500
H 0.0000 0.0000 0.0000
H 0.0000 0.5000 0.5000
H 0.5000 0.0000 0.5000
H 0.5000 0.5000 0.0000
Cl 0.0000 0.0000 0.5000
Cl 0.0000 0.5000 0.0000
Cl 0.5000 0.0000 0.0000
Cl 0.5000 0.5000 0.5000

Density of states at the Fermi level ... 0.94 states/eV per cell
ρ ... 5.44 g cm⁻³

(23)
First-principles (GGA-PBE) data for an optimized crystal structure of Sm4HgAsSe2, as listed in Alexandria.

a = 7.3726 Å, b = 4.1869 Å, c = 7.3947 Å
α = 90.00°, β = 108.93°, γ = 90.00°
Element x y z (fractional)
Sm 0.2388 0.0000 0.2422
Sm 0.2397 0.5000 0.7472
Sm 0.7603 0.5000 0.2528
Sm 0.7612 0.0000 0.7578
Hg 0.5000 0.5000 0.5000
As 0.0000 0.0000 0.5000
Se 0.0000 0.5000 0.0000
Se 0.5000 0.0000 0.0000

Formation energy without anion corrections ... -32.03 kcal/mol of atoms
Density of states at the Fermi level ... 5.38 states/eV per cell
ρ ... 7.96 g cm⁻³

(24)
First-principles (GGA-PBE) data for an optimized crystal structure of BaIn2Os, as listed in Alexandria.

a = 4.6491 Å, b = 4.6491 Å, c = 18.3938 Å
α = 90.00°, β = 90.00°, γ = 120.00°
Element x y z (fractional)
Ba 0.0000 0.0000 0.0000
Ba 0.3333 0.6667 0.6667
Ba 0.6667 0.3333 0.3333
In 0.0000 0.0000 0.2058
In 0.0000 0.0000 0.7942
In 0.3333 0.6667 0.4608
In 0.3333 0.6667 0.8725
In 0.6667 0.3333 0.1275
In 0.6667 0.3333 0.5392
Os 0.0000 0.0000 0.5000
Os 0.3333 0.6667 0.1667
Os 0.6667 0.3333 0.8333

DFT formation energy ... 0.141 eV per atom
Density of states at the Fermi level ... 7.07 states/eV per cell
ρ ... 8.06 g cm⁻³

no.,total DFT energy (no corrections) (eV/atom)
1,-4.7152
2,-7.5249
3,-4.5463
4,-4.5493
5,-5.5800
6,-0.7380
7,-2.5523
8,-0.9027
9,-7.7487
10,-7.4975
11,-5.1459
12,-4.8128
13,-7.3225
14,-7.5600
15,-1.5610
16,-7.2425
17,-6.3270
18,-7.6770
19,-11.2178
20,-4.9997
21,-5.3680
22,-2.7667
23,-5.2384
24,-4.5166